This record from the Alexandria database describes Sc3TaMn8 after structural relaxation. The functional is PBE.

calculated volume	13.74	Å³ per atom
E	-105.90	eV/cell
magnetization	4.24	μB per formula unit
crystal system	trigonal

```
data_Sc3TaMn8
_chemical_formula_sum 'Sc3 Ta1 Mn8'
_symmetry_space_group_name_H-M 'P 1'
_symmetry_Int_Tables_number 1
_cell_length_a 4.874
_cell_length_b 4.874
_cell_length_c 8.494
_cell_angle_alpha 73.33
_cell_angle_beta 73.33
_cell_angle_gamma 60.00
loop_
_symmetry_equiv_pos_as_xyz
'x,y,z'
loop_
_atom_site_label
_atom_site_type_symbol
_atom_site_fract_x
_atom_site_fract_y
_atom_site_fract_z
Mn1 Mn 0.935 0.437 0.192
Mn2 Mn 0.188 0.188 0.437
Mn3 Mn 0.938 0.938 0.683
Sc1 Sc 0.500 0.500 0.501
Sc2 Sc 0.375 0.375 0.876
Mn4 Mn 0.437 0.437 0.192
Mn5 Mn 0.437 0.935 0.192
Mn6 Mn 0.441 0.938 0.683
Ta1 Ta 0.875 0.875 0.374
Mn7 Mn 0.687 0.687 0.938
Mn8 Mn 0.938 0.441 0.683
Sc3 Sc 0.000 0.000 0.999
```

This record from the Alexandria database describes BaCdRh after structural relaxation. The functional is PBE.

calculated volume	28.91	Å³ per atom
E	-21.98	eV/cell
magnetization	0.00	μB per formula unit
crystal system	monoclinic

```
data_BaCdRh
_chemical_formula_sum 'Ba2 Cd2 Rh2'
_symmetry_space_group_name_H-M 'P 1'
_symmetry_Int_Tables_number 1
_cell_length_a 4.526
_cell_length_b 5.748
_cell_length_c 7.149
_cell_angle_alpha 80.03
_cell_angle_beta 71.54
_cell_angle_gamma 89.99
loop_
_symmetry_equiv_pos_as_xyz
'x,y,z'
loop_
_atom_site_label
_atom_site_type_symbol
_atom_site_fract_x
_atom_site_fract_y
_atom_site_fract_z
Rh1 Rh 0.719 0.903 0.063
Rh2 Rh 0.281 0.097 0.937
Cd1 Cd 0.088 0.836 0.324
Ba1 Ba 0.626 0.342 0.247
Cd2 Cd 0.912 0.164 0.676
Ba2 Ba 0.374 0.658 0.753
```

This record from the Alexandria database describes Ti2Sn2Pd5 after structural relaxation. The functional is PBE.

calculated volume	17.58	Å³ per atom
E	-106.92	eV/cell
magnetization	0.00	μB per formula unit
crystal system	orthorhombic

```
data_Ti2Sn2Pd5
_chemical_formula_sum 'Ti4 Sn4 Pd10'
_symmetry_space_group_name_H-M 'P 1'
_symmetry_Int_Tables_number 1
_cell_length_a 8.196
_cell_length_b 5.063
_cell_length_c 9.019
_cell_angle_alpha 106.30
_cell_angle_beta 117.02
_cell_angle_gamma 90.00
loop_
_symmetry_equiv_pos_as_xyz
'x,y,z'
loop_
_atom_site_label
_atom_site_type_symbol
_atom_site_fract_x
_atom_site_fract_y
_atom_site_fract_z
Sn1 Sn 0.902 0.698 0.500
Pd1 Pd 0.695 0.810 0.676
Pd2 Pd 0.085 0.198 0.807
Pd3 Pd 0.482 0.310 0.676
Pd4 Pd 0.222 0.698 0.807
Sn2 Sn 0.098 0.198 0.500
Pd5 Pd 0.305 0.133 0.324
Pd6 Pd 0.728 0.217 0.500
Ti1 Ti 0.184 0.541 0.144
Sn3 Sn 0.000 0.949 0.000
Sn4 Sn 0.500 0.449 0.000
Ti2 Ti 0.816 0.397 0.856
Pd7 Pd 0.915 0.391 0.193
Pd8 Pd 0.518 0.633 0.324
Ti3 Ti 0.461 0.041 0.144
Pd9 Pd 0.778 0.891 0.193
Ti4 Ti 0.539 0.897 0.856
Pd10 Pd 0.272 0.717 0.500
```

This record from the Alexandria database describes SrCd2Cu2 after structural relaxation. The functional is PBE.

calculated volume	21.13	Å³ per atom
E	-23.12	eV/cell
magnetization	0.00	μB per formula unit
crystal system	tetragonal

```
data_SrCd2Cu2
_chemical_formula_sum 'Sr2 Cd4 Cu4'
_symmetry_space_group_name_H-M 'P 1'
_symmetry_Int_Tables_number 1
_cell_length_a 7.930
_cell_length_b 7.930
_cell_length_c 3.360
_cell_angle_alpha 90.00
_cell_angle_beta 90.00
_cell_angle_gamma 90.00
loop_
_symmetry_equiv_pos_as_xyz
'x,y,z'
loop_
_atom_site_label
_atom_site_type_symbol
_atom_site_fract_x
_atom_site_fract_y
_atom_site_fract_z
Cu1 Cu 0.118 0.382 0.000
Cd1 Cd 0.834 0.334 0.500
Cu2 Cu 0.618 0.118 0.000
Cd2 Cd 0.334 0.166 0.500
Cd3 Cd 0.166 0.666 0.500
Sr1 Sr 0.500 0.500 0.000
Cu3 Cu 0.882 0.618 0.000
Sr2 Sr 0.000 0.000 0.000
Cu4 Cu 0.382 0.882 0.000
Cd4 Cd 0.666 0.834 0.500
```